Record 1
{
  "formula": "Y2CrAu",
  "functional": "PBE-GGA",
  "state": "relaxed",
  "lattice_angstrom": [[-4.5966, -1.7058, 0.8666], [-3.7982, 3.1897, 0.4347], [-3.4621, 0.2497, -3.5694]],
  "species": ["Y", "Y", "Cr", "Au"],
  "fractional_positions": [[0.7500, 0.7500, 0.7500], [0.2500, 0.2500, 0.2500], [0.0000, 0.0000, 0.0000], [0.5000, 0.5000, 0.5000]],
  "dos_ef_per_ev_fu": 7.1,
  "total_magnetization_mub_per_fu": 0.00,
  "relative_energy_mev_per_atom": 307
}

Record 2
{
  "formula": "Y2CrAu",
  "functional": "PBE-GGA",
  "state": "relaxed",
  "lattice_angstrom": [[-0.3038, 2.4558, 2.6480], [1.3628, -2.3835, 2.3659], [6.5481, 2.3377, -1.4168]],
  "species": ["Cr", "Y", "Y", "Au"],
  "fractional_positions": [[0.5000, 0.5000, 0.7500], [0.0000, 0.0000, 0.5008], [0.0000, 0.0000, 0.9992], [0.5000, 0.5000, 0.2500]],
  "dos_ef_per_ev_fu": 2.4,
  "total_magnetization_mub_per_fu": 3.71,
  "relative_energy_mev_per_atom": 0
}

Record 3
{
  "formula": "YCr2Au",
  "functional": "PBE-GGA",
  "state": "relaxed",
  "lattice_angstrom": [[-2.2554, -0.2162, 1.6740], [1.6209, -1.0554, 2.0482], [1.4334, 7.9387, 2.9565]],
  "species": ["Y", "Au", "Cr", "Cr"],
  "fractional_positions": [[0.5000, 0.5000, 0.2500], [0.5000, 0.5000, 0.7500], [0.0000, 0.0000, 0.9760], [0.0000, 0.0000, 0.5240]],
  "dos_ef_per_ev_fu": 4.0,
  "total_magnetization_mub_per_fu": 0.00,
  "relative_energy_mev_per_atom": 675
}

Record 4
{
  "formula": "Y2CrAu",
  "functional": "PBE-GGA",
  "state": "relaxed",
  "lattice_angstrom": [[-8.6721, -1.5199, 1.1704], [-7.1848, -3.5568, 3.8228], [-7.7399, 0.0214, 4.3565]],
  "species": ["Au", "Y", "Y", "Cr"],
  "fractional_positions": [[0.2500, 0.2500, 0.2500], [0.9997, 0.9997, 0.9997], [0.5003, 0.5003, 0.5003], [0.7500, 0.7500, 0.7500]],
  "dos_ef_per_ev_fu": 4.2,
  "total_magnetization_mub_per_fu": 3.37,
  "relative_energy_mev_per_atom": 293
}

Record 5
{
  "formula": "YCr2Au",
  "functional": "PBE-GGA",
  "state": "relaxed",
  "lattice_angstrom": [[-3.7882, -0.3024, 2.8845], [-4.3301, 1.1824, -1.6171], [-3.2835, -3.3854, -0.7214]],
  "species": ["Cr", "Cr", "Au", "Y"],
  "fractional_positions": [[0.7500, 0.7500, 0.7500], [0.2500, 0.2500, 0.2500], [0.5000, 0.5000, 0.5000], [0.0000, 0.0000, 0.0000]],
  "dos_ef_per_ev_fu": 2.5,
  "total_magnetization_mub_per_fu": 8.04,
  "relative_energy_mev_per_atom": 248
}

Record 6
{
  "formula": "YCr4Au",
  "functional": "PBE-GGA",
  "state": "relaxed",
  "lattice_angstrom": [[1.8771, -3.4888, 3.1199], [1.4150, 1.2890, 4.6653], [-2.6976, -1.5451, 3.9705]],
  "species": ["Y", "Cr", "Cr", "Cr", "Cr", "Au"],
  "fractional_positions": [[0.7500, 0.7500, 0.7500], [0.3766, 0.8703, 0.3766], [0.3766, 0.3766, 0.8703], [0.3766, 0.3766, 0.3766], [0.8703, 0.3766, 0.3766], [0.0000, 0.0000, 0.0000]],
  "dos_ef_per_ev_fu": 8.0,
  "total_magnetization_mub_per_fu": 0.00
}

no.,formation energy (eV per atom)
1,0.0778
2,-0.2292
3,0.7160
4,0.0635
5,0.2891
6,0.3077